1.
# AcCu3Sn2

A relaxed AcCu3Sn2 crystal (GGA-PBE, Alexandria via LeMat-Bulk).

Results
ρ, Mg/m³: 8.40
Space group: No. 12
Uncorrected energy, eV per formula unit: -26.210
Total magnetic moment, μB per cell: 0.00

Cell lengths 8.6385, 8.6385, 7.6187 Å; angles 113.91, 113.91, 30.13 degrees
Element x y z (fractional)
Ac1 0.1534 0.1534 0.0974
Ac2 0.8466 0.8466 0.9026
Cu1 0.0014 0.0014 0.6596
Cu2 0.3030 0.3030 0.5348
Cu3 0.4146 0.4146 0.3744
Cu4 0.5854 0.5854 0.6256
Cu5 0.6970 0.6970 0.4652
Cu6 0.9986 0.9986 0.3404
Sn1 0.1773 0.1773 0.6588
Sn2 0.4722 0.4722 0.7899
Sn3 0.5278 0.5278 0.2101
Sn4 0.8227 0.8227 0.3412



2.
# AcCu2Sn8

A relaxed AcCu2Sn8 crystal (GGA-PBE, Alexandria via LeMat-Bulk).

Results
ρ, Mg/m³: 6.36
Space group: No. 123
Uncorrected energy, eV per formula unit: -44.500
Total magnetic moment, μB per cell: 0.00

Cell lengths 6.3308, 6.3308, 8.4907 Å; angles 90.00, 90.00, 90.00 degrees
Element x y z (fractional)
Ac1 0.0000 0.0000 0.0000
Cu1 0.0000 0.5000 0.5000
Cu2 0.5000 0.0000 0.5000
Sn1 0.2552 0.2552 0.3048
Sn2 0.2552 0.2552 0.6952
Sn3 0.2552 0.7448 0.3048
Sn4 0.2552 0.7448 0.6952
Sn5 0.7448 0.2552 0.3048
Sn6 0.7448 0.2552 0.6952
Sn7 0.7448 0.7448 0.3048
Sn8 0.7448 0.7448 0.6952



3.
# AcCu5Sn7

A relaxed AcCu5Sn7 crystal (GGA-PBE, Alexandria via LeMat-Bulk).

Results
ρ, Mg/m³: 7.62
Space group: No. 44
Uncorrected energy, eV per formula unit: -53.451
Total magnetic moment, μB per cell: 0.00

Cell lengths 8.2667, 8.2667, 8.2667 Å; angles 143.89, 112.82, 78.71 degrees
Element x y z (fractional)
Ac1 0.0000 0.0000 0.0000
Cu1 0.0110 0.0136 0.4954
Cu2 0.0110 0.5157 0.9975
Cu3 0.5182 0.0136 0.0025
Cu4 0.5182 0.5157 0.5046
Cu5 0.8227 0.3227 0.5000
Sn1 0.1927 0.6927 0.5000
Sn2 0.2042 0.4621 0.7421
Sn3 0.3216 0.3216 0.0000
Sn4 0.4286 0.0830 0.3456
Sn5 0.7168 0.7168 0.0000
Sn6 0.7201 0.4621 0.2579
Sn7 0.7373 0.0830 0.6544



4.
# AcCu2Sn4

A relaxed AcCu2Sn4 crystal (GGA-PBE, Alexandria via LeMat-Bulk).

Results
ρ, Mg/m³: 8.04
Space group: No. 65
Offset from the most stable computed form, meV/atom: 70
Total magnetic moment, μB per cell: 0.00

Cell lengths 5.1340, 12.7470, 5.2314 Å; angles 90.00, 90.00, 90.00 degrees
Element x y z (fractional)
Ac1 0.0000 0.0000 0.0000
Ac2 0.5000 0.5000 0.0000
Cu1 0.0000 0.4029 0.5000
Cu2 0.0000 0.5970 0.5000
Cu3 0.5000 0.0970 0.5000
Cu4 0.5000 0.9030 0.5000
Sn1 0.0000 0.1761 0.5000
Sn2 0.0000 0.3154 0.0000
Sn3 0.0000 0.6846 0.0000
Sn4 0.0000 0.8239 0.5000
Sn5 0.5000 0.1846 0.0000
Sn6 0.5000 0.3239 0.5000
Sn7 0.5000 0.6761 0.5000
Sn8 0.5000 0.8154 0.0000